Entry 1:
A relaxed Li2GaGeO4 crystal. Source: the Alexandria database, functional PBE.

The value obtained for the total energy is -5.6547 eV/atom. The total magnetization comes out at 0.0 Bohr magnetons per cell. Its formation energy (no corrections) is -1742 meV per atom.

It has space group I-4 (No. 82), with a = 4.6138 Å, b = 4.6138 Å, c = 8.9094 Å, α = 90.00°, β = 90.00° and γ = 90.00°. The asymmetric unit holds Li at (0.0000, 0.0000, 0.0000), Li at (0.0000, 0.5000, 0.2500), Ga at (0.0000, 0.5000, 0.7500), Ge at (0.0000, 0.0000, 0.5000) and O at (0.2232, 0.7544, 0.6235).

***

Entry 2:
A relaxed LiGaGeO4 crystal. Source: the Alexandria database, functional PBE.

The value obtained for the total energy is -6.0695 eV/atom. The total magnetization comes out at 0.0 Bohr magnetons per cell. Its formation energy (no corrections) is -1871 meV per atom.

It has space group R-3 (No. 148, hexagonal axes), with a = 14.1607 Å, b = 14.1607 Å, c = 9.4364 Å, α = 90.00°, β = 90.00° and γ = 120.00°. The asymmetric unit holds Li at (0.0206, 0.2110, 0.2461), Ga at (0.0136, 0.2099, 0.9183), Ge at (0.0224, 0.2154, 0.5820), O at (0.0024, 0.3275, 0.5699), O at (0.0781, 0.2047, 0.7439), O at (0.0941, 0.2200, 0.0733) and O at (0.0950, 0.2072, 0.4304).

***

Entry 3:
A relaxed Li2GaGePd crystal. Source: the Alexandria database, functional PBE.

The value obtained for the total energy is -3.7133 eV/atom. The total magnetization comes out at 0.0 Bohr magnetons per cell. The formation energy from the elements comes out at -8.77 kcal/mol of atoms.

It has space group Imm2 (No. 44), with a = 2.8494 Å, b = 4.3258 Å, c = 12.9850 Å, α = 90.00°, β = 90.00° and γ = 90.00°. The asymmetric unit holds Li at (0.0000, 0.0000, 0.0000), Li at (0.0000, 0.0000, 0.3625), Ga at (0.0000, 0.0000, 0.5765), Ge at (0.0000, 0.0000, 0.7907) and Pd at (0.0000, 0.5000, 0.6834).

***

Entry 4:
A relaxed Li2GaGe2Pd5 crystal. Source: the Alexandria database, functional PBE.

The value obtained for the total energy is -4.7128 eV/atom. The total magnetization comes out at 0.0 Bohr magnetons per cell. The formation energy from the elements comes out at -11.70 kcal/mol of atoms.

It has space group P4/mbm (No. 127), with a = 9.6857 Å, b = 9.6857 Å, c = 3.4597 Å, α = 90.00°, β = 90.00° and γ = 90.00°. The asymmetric unit holds Li at (0.1688, 0.3312, 0.0000), Ga at (0.0000, 0.0000, 0.0000), Ge at (0.1317, 0.6317, 0.0000), Pd at (0.0000, 0.5000, 0.5000) and Pd at (0.0736, 0.8055, 0.5000).

***

Entry 5:
A relaxed LiPmGaGe crystal. Source: the Alexandria database, functional PBE.

The value obtained for the total energy is -4.0064 eV/atom. The total magnetization comes out at 0.0 Bohr magnetons per cell. The formation energy from the elements comes out at -9.90 kcal/mol of atoms.

It has space group F-43m (No. 216), with a = 6.9599 Å, b = 6.9599 Å, c = 6.9599 Å, α = 90.00°, β = 90.00° and γ = 90.00°. The asymmetric unit holds Li at (0.0000, 0.0000, 0.0000), Pm at (0.0000, 0.0000, 0.5000), Ga at (0.2500, 0.2500, 0.7500) and Ge at (0.2500, 0.2500, 0.2500).

***

Entry 6:
A relaxed Li2PmGaGe2 crystal. Source: the Alexandria database, functional PBE.

The value obtained for the total energy is -3.9771 eV/atom. The total magnetization comes out at 0.0 Bohr magnetons per cell. The formation energy from the elements comes out at -11.62 kcal/mol of atoms.

It has space group Pmc2_1 (No. 26), with a = 4.1626 Å, b = 8.0046 Å, c = 7.2779 Å, α = 90.00°, β = 90.00° and γ = 90.00°. The asymmetric unit holds Li at (0.0000, 0.0696, 0.0000), Li at (0.5000, 0.1673, 0.3236), Pm at (0.5000, 0.4290, 0.9455), Ga at (0.0000, 0.3056, 0.6031), Ge at (0.0000, 0.3638, 0.2348) and Ge at (0.5000, 0.1376, 0.6911).